No. 1
Computed, not measured: a relaxed structure of Y2BeSbRh6 at the PBE-GGA level of DFT.

**Total energy**: -273.8 eV per cell
**V**: 736 Å³ per cell
**Crystal system**: cubic
**Density**: 8.4 Mg/m³

```
data_Y2BeSbRh6
_chemical_formula_sum 'Y8 Be4 Sb4 Rh24'
_symmetry_space_group_name_H-M 'F m -3 m'
_symmetry_Int_Tables_number 225
_symmetry_space_group_name_Hall '-F 4 2 3'
_cell_length_a 9.0283
_cell_length_b 9.0283
_cell_length_c 9.0283
_cell_angle_alpha 90.00
_cell_angle_beta 90.00
_cell_angle_gamma 90.00
loop_
_atom_site_label
_atom_site_fract_x
_atom_site_fract_y
_atom_site_fract_z
_atom_site_occupancy
Y1 0.2500 0.2500 0.2500 1
Be1 0.0000 0.0000 0.0000 1
Sb1 0.0000 0.0000 0.5000 1
Rh1 0.0000 0.0000 0.2297 1
```

---

No. 2
Computed, not measured: a relaxed structure of CaTaGe at the PBE-GGA level of DFT.

**Energy of formation from the pure elements**: -0.4 eV per formula unit
**Total energy**: -37.8 eV per cell
**V**: 157 Å³ per cell
**Crystal system**: triclinic
**Density**: 6.2 Mg/m³

```
data_CaTaGe
_chemical_formula_sum 'Ca2 Ta2 Ge2'
_symmetry_space_group_name_H-M 'P -1'
_symmetry_Int_Tables_number 2
_cell_length_a 3.6336
_cell_length_b 4.7784
_cell_length_c 9.9811
_cell_angle_alpha 79.80
_cell_angle_beta 89.54
_cell_angle_gamma 67.67
loop_
_symmetry_equiv_pos_as_xyz
'x,y,z'
'-x,-y,-z'
loop_
_atom_site_label
_atom_site_fract_x
_atom_site_fract_y
_atom_site_fract_z
_atom_site_occupancy
Ca1 0.1842 0.1455 0.1704 1
Ta1 0.1582 0.1819 0.5594 1
Ge1 0.4635 0.5666 0.6440 1
```

---

No. 3
Computed, not measured: a relaxed structure of CaTb12Ho5 at the PBE-GGA level of DFT.

**Energy of formation from the pure elements**: 0.7 eV per formula unit
**Total energy**: -79.8 eV per cell
**V**: 576 Å³ per cell
**Crystal system**: monoclinic
**Density**: 8.0 Mg/m³

```
data_CaTb12Ho5
_chemical_formula_sum 'Ca1 Tb12 Ho5'
_symmetry_space_group_name_H-M 'P 1 2/m 1'
_symmetry_Int_Tables_number 10
_cell_length_a 10.6904
_cell_length_b 5.0385
_cell_length_c 10.7011
_cell_angle_alpha 90.00
_cell_angle_beta 90.08
_cell_angle_gamma 90.00
loop_
_symmetry_equiv_pos_as_xyz
'x,y,z'
'-x,-y,-z'
'-x,y,-z'
'x,-y,z'
loop_
_atom_site_label
_atom_site_fract_x
_atom_site_fract_y
_atom_site_fract_z
_atom_site_occupancy
Ca1 0.0000 0.0000 0.0000 1
Tb1 0.9996 0.0000 0.3376 1
Tb2 0.1668 0.5000 0.5003 1
Tb3 0.1723 0.5000 0.1724 1
Tb4 0.3338 0.0000 0.3337 1
Tb5 0.3377 0.0000 0.9996 1
Tb6 0.5004 0.5000 0.1667 1
Ho1 0.1726 0.5000 0.8274 1
Ho2 0.3336 0.0000 0.6665 1
Ho3 0.5000 0.5000 0.5000 1
```

---

No. 4
Computed, not measured: a relaxed structure of La2Sn2Bi at the PBE-GGA level of DFT.

**Energy of formation from the pure elements**: -3.6 eV per formula unit
**Total energy**: -50.7 eV per cell
**V**: 321 Å³ per cell
**Crystal system**: tetragonal
**Density**: 7.5 Mg/m³
**Offset from the most stable computed form**: 0.0 meV/atom

```
data_La2Sn2Bi
_chemical_formula_sum 'La4 Sn4 Bi2'
_symmetry_space_group_name_H-M 'P 4/m b m'
_symmetry_Int_Tables_number 127
_symmetry_space_group_name_Hall '-P 4 2ab'
_cell_length_a 8.2852
_cell_length_b 8.2852
_cell_length_c 4.6768
_cell_angle_alpha 90.00
_cell_angle_beta 90.00
_cell_angle_gamma 90.00
loop_
_atom_site_label
_atom_site_fract_x
_atom_site_fract_y
_atom_site_fract_z
_atom_site_occupancy
La1 0.1746 0.3254 0.0000 1
Sn1 0.1256 0.6256 0.5000 1
Bi1 0.0000 0.0000 0.5000 1
```